This record from Alexandria describes a relaxed structure of VSnSbO6. The functional is PBE with a Hubbard U.

Lattice parameters (Å, degrees): 5.2015 5.2015 8.9930 90.00 90.00 120.00
With the nearest neighbours (Å) after each atom.
Positions (direct):
V: 0.3333 0.6667 0.2500  6 O 2.04
V: 0.6667 0.3333 0.7500  6 O 2.04
Sn: 0.0000 0.0000 0.0000  6 O 2.13
Sn: 0.0000 0.0000 0.5000  6 O 2.13
Sb: 0.6667 0.3333 0.2500  6 O 2.01
Sb: 0.3333 0.6667 0.7500  6 O 2.01
O: 0.6605 0.6566 0.1298  1 Sb 2.01, 1 V 2.04, 1 Sn 2.13
O: 0.9961 0.3395 0.1298  1 Sb 2.01, 1 V 2.04, 1 Sn 2.13
O: 0.3395 0.9961 0.6298  1 Sb 2.01, 1 V 2.04, 1 Sn 2.13
O: 0.0039 0.6605 0.8702  1 Sb 2.01, 1 V 2.04, 1 Sn 2.13
O: 0.3434 0.3395 0.3702  1 Sb 2.01, 1 V 2.04, 1 Sn 2.13
O: 0.9961 0.6566 0.3702  1 Sb 2.01, 1 V 2.04, 1 Sn 2.13
O: 0.6566 0.9961 0.8702  1 Sb 2.01, 1 V 2.04, 1 Sn 2.13
O: 0.6605 0.0039 0.3702  1 Sb 2.01, 1 V 2.04, 1 Sn 2.13
O: 0.0039 0.3434 0.6298  1 Sb 2.01, 1 V 2.04, 1 Sn 2.13
O: 0.3434 0.0039 0.1298  1 Sb 2.01, 1 V 2.04, 1 Sn 2.13
O: 0.6566 0.6605 0.6298  1 Sb 2.01, 1 V 2.04, 1 Sn 2.13
O: 0.3395 0.3434 0.8702  1 Sb 2.01, 1 V 2.04, 1 Sn 2.13

Results
DFT total energy: -6.67 eV per atom
symmetry: P-31c (163)